Record 1
First-principles (PBE-GGA) data for crystalline Ti2HOsRh at its relaxed geometry, as listed in the Alexandria database.

Unit cell a=4.237 b=4.237 c=3.471 alpha=90.00 beta=90.00 gamma=90.00
Atoms (fractional coordinates):
Ti (0.000, 0.500, 0.000)
Ti (0.500, 0.000, 0.000)
H (0.000, 0.000, 0.000)
Os (0.500, 0.500, 0.500)
Rh (0.000, 0.000, 0.500)

Properties
* total DFT energy (no corrections): -8.051 eV per atom
* symmetry: P4/mmm, No. 123

Record 2
First-principles (PBE-GGA) data for crystalline Ti2HOsRh at its relaxed geometry, as listed in the Alexandria database.

Unit cell a=4.206 b=4.206 c=3.541 alpha=90.00 beta=90.00 gamma=90.00
Atoms (fractional coordinates):
Ti (0.000, 0.500, 0.000)
Ti (0.500, 0.000, 0.000)
H (0.000, 0.000, 0.000)
Os (0.000, 0.000, 0.500)
Rh (0.500, 0.500, 0.500)

Properties
* total DFT energy (no corrections): -8.029 eV per atom
* symmetry: P4/mmm, No. 123

Record 3
First-principles (PBE-GGA) data for crystalline TiHOs2Rh at its relaxed geometry, as listed in the Alexandria database.

Unit cell a=3.876 b=3.876 c=4.001 alpha=90.00 beta=90.00 gamma=90.00
Atoms (fractional coordinates):
Ti (0.000, 0.000, 0.000)
H (0.000, 0.000, 0.500)
Os (0.000, 0.500, 0.500)
Os (0.500, 0.000, 0.500)
Rh (0.500, 0.500, 0.000)

Properties
* total DFT energy (no corrections): -8.420 eV per atom
* symmetry: P4/mmm, No. 123

Record 4
First-principles (PBE-GGA) data for crystalline V2HOsRh at its relaxed geometry, as listed in the Alexandria database.

Unit cell a=3.922 b=3.922 c=3.727 alpha=90.00 beta=90.00 gamma=90.00
Atoms (fractional coordinates):
V (0.000, 0.500, 0.000)
V (0.500, 0.000, 0.000)
H (0.000, 0.000, 0.000)
Os (0.000, 0.000, 0.500)
Rh (0.500, 0.500, 0.500)

Properties
* total DFT energy (no corrections): -8.209 eV per atom
* symmetry: P4/mmm, No. 123

Record 5
First-principles (PBE-GGA) data for crystalline V2HOsRh at its relaxed geometry, as listed in the Alexandria database.

Unit cell a=3.937 b=3.937 c=3.684 alpha=90.00 beta=90.00 gamma=90.00
Atoms (fractional coordinates):
V (0.000, 0.500, 0.000)
V (0.500, 0.000, 0.000)
H (0.000, 0.000, 0.000)
Os (0.500, 0.500, 0.500)
Rh (0.000, 0.000, 0.500)

Properties
* total DFT energy (no corrections): -8.228 eV per atom
* symmetry: P4/mmm, No. 123

Record 6
First-principles (PBE-GGA) data for crystalline VHOs2Rh at its relaxed geometry, as listed in the Alexandria database.

Unit cell a=3.864 b=3.864 c=3.890 alpha=90.00 beta=90.00 gamma=90.00
Atoms (fractional coordinates):
V (0.000, 0.000, 0.000)
H (0.000, 0.000, 0.500)
Os (0.000, 0.500, 0.500)
Os (0.500, 0.000, 0.500)
Rh (0.500, 0.500, 0.000)

Properties
* total DFT energy (no corrections): -8.518 eV per atom
* symmetry: P4/mmm, No. 123

Record 7
First-principles (PBE-GGA) data for crystalline HOs2RhW at its relaxed geometry, as listed in the Alexandria database.

Unit cell a=3.952 b=3.952 c=3.886 alpha=90.00 beta=90.00 gamma=90.00
Atoms (fractional coordinates):
H (0.000, 0.000, 0.000)
Os (0.000, 0.500, 0.000)
Os (0.500, 0.000, 0.000)
Rh (0.000, 0.000, 0.500)
W (0.500, 0.500, 0.500)

Properties
* total DFT energy (no corrections): -9.197 eV per atom
* symmetry: P4/mmm, No. 123

Record 8
First-principles (PBE-GGA) data for crystalline HOs2RhW at its relaxed geometry, as listed in the Alexandria database.

Unit cell a=3.914 b=3.914 c=3.972 alpha=90.00 beta=90.00 gamma=90.00
Atoms (fractional coordinates):
H (0.000, 0.000, 0.000)
Os (0.000, 0.500, 0.000)
Os (0.500, 0.000, 0.000)
Rh (0.500, 0.500, 0.500)
W (0.000, 0.000, 0.500)

Properties
* total DFT energy (no corrections): -9.128 eV per atom
* symmetry: P4/mmm, No. 123

Record 9
First-principles (PBE-GGA) data for crystalline HOsRu3 at its relaxed geometry, as listed in the Alexandria database.

Unit cell a=4.705 b=4.705 c=4.705 alpha=90.00 beta=90.00 gamma=90.00
Atoms (fractional coordinates):
H (0.000, 0.000, 0.000)
Os (0.500, 0.500, 0.500)
Ru (0.000, 0.500, 0.500)
Ru (0.500, 0.000, 0.500)
Ru (0.500, 0.500, 0.000)

Properties
* total DFT energy (no corrections): -6.170 eV per atom
* symmetry: Pm-3m, No. 221

Record 10
First-principles (PBE-GGA) data for crystalline H4Os2Ru at its relaxed geometry, as listed in the Alexandria database.

Unit cell a=6.048 b=6.048 c=6.048 alpha=149.74 beta=149.74 gamma=43.33
Atoms (fractional coordinates):
H (0.000, 0.500, 0.500)
H (0.173, 0.173, 0.000)
H (0.500, 0.000, 0.500)
H (0.827, 0.827, 0.000)
Os (0.326, 0.326, 0.000)
Os (0.674, 0.674, 0.000)
Ru (0.000, 0.000, 0.000)

Properties
* total DFT energy (no corrections): -5.777 eV per atom
* symmetry: I4/mmm, No. 139

Record 11
First-principles (PBE-GGA) data for crystalline H2Os2Ru at its relaxed geometry, as listed in the Alexandria database.

Unit cell a=6.455 b=6.455 c=6.455 alpha=154.77 beta=154.77 gamma=35.98
Atoms (fractional coordinates):
H (0.250, 0.750, 0.500)
H (0.750, 0.250, 0.500)
Os (0.149, 0.149, 0.000)
Os (0.851, 0.851, 0.000)
Ru (0.500, 0.500, 0.000)

Properties
* total DFT energy (no corrections): -7.278 eV per atom
* symmetry: I4/mmm, No. 139

Record 12
First-principles (PBE-GGA) data for crystalline H2OsRu at its relaxed geometry, as listed in the Alexandria database.

Unit cell a=5.045 b=5.045 c=5.045 alpha=131.84 beta=131.84 gamma=70.49
Atoms (fractional coordinates):
H (0.121, 0.625, 0.996)
H (0.375, 0.371, 0.496)
H (0.629, 0.125, 0.004)
H (0.875, 0.879, 0.504)
Os (0.250, 0.750, 0.500)
Os (0.500, 0.500, 0.000)
Ru (0.000, 0.000, 0.000)
Ru (0.750, 0.250, 0.500)

Properties
* total DFT energy (no corrections): -6.407 eV per atom
* symmetry: I-42d, No. 122

What did the second record say?
First-principles (PBE-GGA) data for crystalline Ti2HOsRh at its relaxed geometry, as listed in the Alexandria database.

Unit cell a=4.206 b=4.206 c=3.541 alpha=90.00 beta=90.00 gamma=90.00
Atoms (fractional coordinates):
Ti (0.000, 0.500, 0.000)
Ti (0.500, 0.000, 0.000)
H (0.000, 0.000, 0.000)
Os (0.000, 0.000, 0.500)
Rh (0.500, 0.500, 0.500)

Properties
* total DFT energy (no corrections): -8.029 eV per atom
* symmetry: P4/mmm, No. 123